Record 1
## GeIrBr3 (GGA-PBE)

Data for a relaxed structure of GeIrBr3.

uncorrected formation energy: 0.43 eV/atom
N(E_F): 3.07 states/eV/cell

a b c (Å): 5.073 5.073 5.073
angles (deg): 90.00 90.00 90.00
Space group Pm-3m (No. 221)
One atom of each set of equivalent atoms:
1 Ge 0.000 0.000 0.000 [1 per cell]
2 Ir 0.500 0.500 0.500 [1 per cell]
3 Br 0.000 0.500 0.500 [3 per cell]

Record 2
## GeIrBr2 (GGA-PBE)

Data for a relaxed structure of GeIrBr2.

uncorrected formation energy: 0.86 eV/atom
N(E_F): 14.19 states/eV/cell

a b c (Å): 6.862 6.862 6.862
angles (deg): 90.00 90.00 90.00
Space group Fm-3m (No. 225)
One atom of each set of equivalent atoms:
1 Ge 0.000 0.000 0.000 [4 per cell]
2 Ir 0.000 0.000 0.500 [4 per cell]
3 Br 0.250 0.250 0.250 [8 per cell]